Below is an optimized crystal structure of PaGaBi2, with properties calculated at the PBE level.

a b c (Å): 9.7261 9.7261 9.7261
angles (deg): 26.66 26.66 26.66
With the nearest neighbours (Å) after each atom.
Fractional positions:
Pa 0.0000 0.0000 0.0000  6 Bi 3.13
Ga 0.5000 0.5000 0.5000  2 Bi 2.92
Bi 0.3960 0.3960 0.3960  1 Ga 2.92, 3 Pa 3.13
Bi 0.6040 0.6040 0.6040  1 Ga 2.92, 3 Pa 3.13

- density (g cm⁻³) = 7.3
- SG = No. 166
- excess energy over the best structure of this formula in the dataset (meV per atom) = 505
- ΔE_f (eV per atom) = 0.349
- E (eV per atom) = -4.7226